Record 1
# Pm2PrNdY6

A relaxed structure of Pm2PrNdY6 (PBE, Alexandria).

Summary:
The density of states at the Fermi level comes out at 1.61 states/eV per atom. The total energy comes out at -5.668 eV per atom.

a = 8.8318 Å, b = 8.8318 Å, c = 9.9048 Å
α = 95.11°, β = 95.11°, γ = 117.44°
Positions (direct):
Pm: 0.1905 0.2881 0.0445
Pm: 0.2881 0.1905 0.5445
Pm: 0.7119 0.8095 0.4555
Pm: 0.8095 0.7119 0.9555
Pr: 0.0183 0.9817 0.2500
Pr: 0.9817 0.0183 0.7500
Nd: 0.4053 0.5947 0.7500
Nd: 0.5947 0.4053 0.2500
Y: 0.0232 0.5734 0.1828
Y: 0.1184 0.7402 0.5569
Y: 0.2598 0.8816 0.9431
Y: 0.2990 0.5087 0.3816
Y: 0.4266 0.9768 0.3172
Y: 0.4913 0.7010 0.1184
Y: 0.5087 0.2990 0.8816
Y: 0.5734 0.0232 0.6828
Y: 0.7010 0.4913 0.6184
Y: 0.7402 0.1184 0.0569
Y: 0.8816 0.2598 0.4431
Y: 0.9768 0.4266 0.8172


Record 2
# Pm4Pr2NdY2

A relaxed structure of Pm4Pr2NdY2 (PBE, Alexandria).

Summary:
The density of states at the Fermi level comes out at 1.37 states/eV per atom. The total energy comes out at -5.138 eV per atom.

a = 9.7355 Å, b = 9.7355 Å, c = 9.7948 Å
α = 115.23°, β = 115.23°, γ = 21.83°
Positions (direct):
Pm: 0.0186 0.0186 0.3356
Pm: 0.3142 0.3142 0.6652
Pm: 0.6858 0.6858 0.3348
Pm: 0.9814 0.9814 0.6644
Pr: 0.1666 0.1666 0.9999
Pr: 0.8334 0.8334 0.0001
Nd: 0.5000 0.5000 0.0000
Y: 0.3524 0.3524 0.3343
Y: 0.6476 0.6476 0.6657


Record 3
# Pm2Pr4NdY2

A relaxed structure of Pm2Pr4NdY2 (PBE, Alexandria).

Summary:
The density of states at the Fermi level comes out at 1.60 states/eV per atom. The total energy comes out at -5.131 eV per atom.

a = 8.2079 Å, b = 8.2079 Å, c = 8.1816 Å
α = 107.51°, β = 107.51°, γ = 36.87°
Positions (direct):
Pm: 0.1112 0.1112 0.1678
Pm: 0.8888 0.8888 0.8322
Pr: 0.2226 0.2226 0.8317
Pr: 0.4452 0.4452 0.1678
Pr: 0.5548 0.5548 0.8322
Pr: 0.7774 0.7774 0.1683
Nd: 0.0000 0.0000 0.5000
Y: 0.3324 0.3324 0.5007
Y: 0.6676 0.6676 0.4993


Record 4
# Pm2Pr2Nd4Y

A relaxed structure of Pm2Pr2Nd4Y (PBE, Alexandria).

Summary:
The density of states at the Fermi level comes out at 1.32 states/eV per atom. The total energy comes out at -4.944 eV per atom.

a = 9.7773 Å, b = 9.7773 Å, c = 9.8626 Å
α = 115.09°, β = 115.09°, γ = 21.83°
Positions (direct):
Pm: 0.1479 0.1479 0.1674
Pm: 0.8521 0.8521 0.8326
Pr: 0.3344 0.3344 0.5008
Pr: 0.6656 0.6656 0.4992
Nd: 0.1852 0.1852 0.8329
Nd: 0.4818 0.4818 0.1681
Nd: 0.5182 0.5182 0.8319
Nd: 0.8148 0.8148 0.1671
Y: 0.0000 0.0000 0.5000